No. 1
The following is a PBE-GGA calculation of crystalline Sm3Mg3Cd at its relaxed geometry, from the Alexandria database.

Cell: 10.673 10.903 7.048 Å, 90.00 90.00 90.00°
Space group Cmmm (No. 65)
Inequivalent atoms, fractional coordinates:
1 Sm 0.000 0.000 0.249 [4 per cell]
2 Sm 0.250 0.250 0.253 [8 per cell]
3 Mg 0.000 0.286 0.000 [4 per cell]
4 Mg 0.170 0.500 0.500 [4 per cell]
5 Mg 0.209 0.500 0.000 [4 per cell]
6 Cd 0.000 0.269 0.500 [4 per cell]

Output
ΔH_f (0 K): -0.020 eV/atom

=====

No. 2
The following is a PBE-GGA calculation of crystalline CoPH2 at its relaxed geometry, from the Alexandria database.

Cell: 10.402 2.603 5.844 Å, 90.00 118.41 90.00°
Space group Cm (No. 8)
Inequivalent atoms, fractional coordinates:
1 Co 0.000 0.000 0.000 [2 per cell]
2 Co 0.128 0.500 0.753 [2 per cell]
3 P 0.002 0.500 0.321 [2 per cell]
4 P 0.300 0.000 0.753 [2 per cell]
5 H 0.013 0.000 0.725 [2 per cell]
6 H 0.131 0.500 0.041 [2 per cell]
7 H 0.282 0.000 0.495 [2 per cell]
8 H 0.353 0.000 0.269 [2 per cell]

Output
ΔE to the lowest computed polymorph: 14.6 meV/atom

=====

No. 3
The following is a PBE-GGA calculation of crystalline TlMoSe3 at its relaxed geometry, from the Alexandria database.

Cell: 5.028 5.028 5.028 Å, 90.00 90.00 90.00°
Space group Pm-3m (No. 221)
Inequivalent atoms, fractional coordinates:
1 Tl 0.000 0.000 0.000 [1 per cell]
2 Mo 0.500 0.500 0.500 [1 per cell]
3 Se 0.000 0.500 0.500 [3 per cell]

Output
ΔE to the lowest computed polymorph: 308.6 meV/atom
Uncorrected formation energy: -0.097 eV/atom

=====

No. 4
The following is a PBE-GGA calculation of crystalline Na6GePd2 at its relaxed geometry, from the Alexandria database.

Cell: 5.1679 5.1679 28.6997 Å, 90.00 90.00 120.00°
Space group R-3m (No. 166, hexagonal axes)
Inequivalent atoms, fractional coordinates:
1 Na 0.0000 0.0000 0.0785 [6 per cell]
2 Na 0.0000 0.0000 0.1995 [6 per cell]
3 Na 0.0000 0.0000 0.3098 [6 per cell]
4 Ge 0.0000 0.0000 0.5000 [3 per cell]
5 Pd 0.0000 0.0000 0.4168 [6 per cell]

Output
ΔH_f (0 K): -0.115 eV/atom

=====

No. 5
The following is a PBE-GGA calculation of crystalline TaMo at its relaxed geometry, from the Alexandria database.

Cell: 4.4303 4.4303 5.3782 Å, 90.00 90.00 120.00°
Space group P6_3/mmc (No. 194)
Inequivalent atoms, fractional coordinates:
1 Ta 0.3333 0.6667 0.2500 [2 per cell]
2 Mo 0.3333 0.6667 0.7500 [2 per cell]

Output
ΔH_f (0 K): 1.550 eV/atom

=====

No. 6
The following is a PBE-GGA calculation of crystalline SrCe2Cd2Sn2 at its relaxed geometry, from the Alexandria database.

Cell: 4.8856 4.8856 29.3733 Å, 90.00 90.00 120.00°
Space group R-3m (No. 166, hexagonal axes)
Inequivalent atoms, fractional coordinates:
1 Sr 0.0000 0.0000 0.0000 [3 per cell]
2 Ce 0.0000 0.0000 0.1476 [6 per cell]
3 Cd 0.0000 0.0000 0.4279 [6 per cell]
4 Sn 0.0000 0.0000 0.2630 [6 per cell]

Output
ΔH_f (0 K): -0.301 eV/atom

=====

| no. | calculated volume (Å³ per cell) | mass density (Mg/m³) |
| --- | --- | --- |
| 1 | 820.2 | 5.15 |
| 2 | 139.2 | 4.39 |
| 3 | 127.1 | 7.02 |
| 4 | 663.8 | 3.18 |
| 5 | 91.4 | 10.06 |
| 6 | 607.2 | 6.81 |